A) # GGA-PBE Cs3WSe4, relaxed
data_Cs3WSe4
_chemical_formula_sum 'Cs6 W2 Se8'
_cell_length_a 7.544
_cell_length_b 10.898
_cell_length_c 8.363
_cell_angle_alpha 90.00
_cell_angle_beta 90.00
_cell_angle_gamma 90.00
_space_group_name_H-M_alt 'I m m 2'
_space_group_IT_number 44
loop_
_space_group_symop_operation_xyz
'x,y,z'
'-x,-y,z'
'-x,y,z'
'x,-y,z'
'x+1/2,y+1/2,z+1/2'
'-x+1/2,-y+1/2,z+1/2'
'-x+1/2,y+1/2,z+1/2'
'x+1/2,-y+1/2,z+1/2'
loop_
_atom_site_label
_atom_site_type_symbol
_atom_site_fract_x
_atom_site_fract_y
_atom_site_fract_z
Cs1 Cs 0.000 0.000 0.000
Cs2 Cs 0.000 0.241 0.583
W1 W 0.000 0.500 0.011
Se1 Se 0.000 0.317 0.170
Se2 Se 0.247 0.000 0.345
# N(E_F) (states/eV/cell): 9.6
# Magnetization (Bohr magnetons per cell): 2.05

---

B) # GGA-PBE Cs3WSe4, relaxed
data_Cs3WSe4
_chemical_formula_sum 'Cs6 W2 Se8'
_cell_length_a 14.000
_cell_length_b 7.154
_cell_length_c 6.909
_cell_angle_alpha 90.00
_cell_angle_beta 90.00
_cell_angle_gamma 90.00
_space_group_name_H-M_alt 'P m n 21'
_space_group_IT_number 31
loop_
_space_group_symop_operation_xyz
'x,y,z'
'-x+1/2,-y,z+1/2'
'-x,y,z'
'x+1/2,-y,z+1/2'
loop_
_atom_site_label
_atom_site_type_symbol
_atom_site_fract_x
_atom_site_fract_y
_atom_site_fract_z
Cs1 Cs 0.000 0.152 0.000
Cs2 Cs 0.249 0.725 0.030
W1 W 0.000 0.640 0.419
Se1 Se 0.000 0.317 0.500
Se2 Se 0.000 0.649 0.075
Se3 Se 0.146 0.779 0.530
# N(E_F) (states/eV/cell): 10.1
# Magnetization (Bohr magnetons per cell): 2.04

---

Quick one: least stable of them? A)

---

A) # GGA-PBE CsWSe3, relaxed
data_CsWSe3
_chemical_formula_sum 'Cs1 W1 Se3'
_cell_length_a 5.723
_cell_length_b 5.723
_cell_length_c 5.723
_cell_angle_alpha 90.00
_cell_angle_beta 90.00
_cell_angle_gamma 90.00
_space_group_name_H-M_alt 'P m -3 m'
_space_group_IT_number 221
_space_group_name_Hall '-P 4 2 3'
loop_
_atom_site_label
_atom_site_type_symbol
_atom_site_fract_x
_atom_site_fract_y
_atom_site_fract_z
Cs1 Cs 0.000 0.000 0.000
W1 W 0.500 0.500 0.500
Se1 Se 0.000 0.000 0.500
# N(E_F) (states/eV/cell): 6.9
# Magnetization (Bohr magnetons per cell): 3.25

---

B) # GGA-PBE CsWSe3, relaxed
data_CsWSe3
_chemical_formula_sum 'Cs1 W1 Se3'
_cell_length_a 5.091
_cell_length_b 5.091
_cell_length_c 5.091
_cell_angle_alpha 90.00
_cell_angle_beta 90.00
_cell_angle_gamma 90.00
_space_group_name_H-M_alt 'P m -3 m'
_space_group_IT_number 221
_space_group_name_Hall '-P 4 2 3'
loop_
_atom_site_label
_atom_site_type_symbol
_atom_site_fract_x
_atom_site_fract_y
_atom_site_fract_z
Cs1 Cs 0.000 0.000 0.000
W1 W 0.500 0.500 0.500
Se1 Se 0.000 0.500 0.500
# N(E_F) (states/eV/cell): 2.0
# Magnetization (Bohr magnetons per cell): 0.00

---

C) # GGA-PBE CsWSe3, relaxed
data_CsWSe3
_chemical_formula_sum 'Cs4 W4 Se12'
_cell_length_a 9.818
_cell_length_b 6.664
_cell_length_c 9.371
_cell_angle_alpha 90.00
_cell_angle_beta 98.56
_cell_angle_gamma 90.00
_space_group_name_H-M_alt 'P 1 21/c 1'
_space_group_IT_number 14
loop_
_space_group_symop_operation_xyz
'x,y,z'
'-x,-y,-z'
'-x,y+1/2,-z+1/2'
'x,-y+1/2,z+1/2'
loop_
_atom_site_label
_atom_site_type_symbol
_atom_site_fract_x
_atom_site_fract_y
_atom_site_fract_z
Cs1 Cs 0.123 0.156 0.211
W1 W 0.423 0.740 0.592
Se1 Se 0.184 0.672 0.068
Se2 Se 0.352 0.073 0.950
Se3 Se 0.463 0.584 0.842
# N(E_F) (states/eV/cell): 11.7
# Magnetization (Bohr magnetons per cell): 0.00

---

Quick one: least stable of them? A)

---

A) # GGA-PBE CsWSe2, relaxed
data_CsWSe2
_chemical_formula_sum 'Cs3 W3 Se6'
_cell_length_a 4.0049
_cell_length_b 4.0049
_cell_length_c 29.8271
_cell_angle_alpha 90.00
_cell_angle_beta 90.00
_cell_angle_gamma 120.00
_space_group_name_H-M_alt 'R -3 m'
_space_group_IT_number 166
_space_group_name_Hall '-R 3 2"'
loop_
_atom_site_label
_atom_site_type_symbol
_atom_site_fract_x
_atom_site_fract_y
_atom_site_fract_z
Cs1 Cs 0.0000 0.0000 0.0000
W1 W 0.0000 0.0000 0.5000
Se1 Se 0.0000 0.0000 0.4219
# N(E_F) (states/eV/cell): 4.7
# Magnetization (Bohr magnetons per cell): 3.80

---

B) # GGA-PBE CsWSe2, relaxed
data_CsWSe2
_chemical_formula_sum 'Cs4 W4 Se8'
_cell_length_a 7.767
_cell_length_b 7.767
_cell_length_c 9.332
_cell_angle_alpha 90.00
_cell_angle_beta 90.00
_cell_angle_gamma 90.00
_space_group_name_H-M_alt 'I -4 2 d'
_space_group_IT_number 122
_space_group_name_Hall 'I -4 2bw'
loop_
_atom_site_label
_atom_site_type_symbol
_atom_site_fract_x
_atom_site_fract_y
_atom_site_fract_z
Cs1 Cs 0.000 0.000 0.000
W1 W 0.000 0.000 0.500
Se1 Se 0.108 0.250 0.625
# N(E_F) (states/eV/cell): 17.6
# Magnetization (Bohr magnetons per cell): 0.00

---

Quick one: least stable of them? A)

---

A) # GGA-PBE CsWSe2, relaxed
data_CsWSe2
_chemical_formula_sum 'Cs3 W3 Se6'
_cell_length_a 3.5828
_cell_length_b 3.5828
_cell_length_c 30.4042
_cell_angle_alpha 90.00
_cell_angle_beta 90.00
_cell_angle_gamma 120.00
_space_group_name_H-M_alt 'R -3 m'
_space_group_IT_number 166
_space_group_name_Hall '-R 3 2"'
loop_
_atom_site_label
_atom_site_type_symbol
_atom_site_fract_x
_atom_site_fract_y
_atom_site_fract_z
Cs1 Cs 0.0000 0.0000 0.0000
W1 W 0.0000 0.0000 0.5000
Se1 Se 0.0000 0.0000 0.1146
# N(E_F) (states/eV/cell): 9.2
# Magnetization (Bohr magnetons per cell): 0.46

---

B) # GGA-PBE CsWSe2, relaxed
data_CsWSe2
_chemical_formula_sum 'Cs4 W4 Se8'
_cell_length_a 7.359
_cell_length_b 7.359
_cell_length_c 7.359
_cell_angle_alpha 90.00
_cell_angle_beta 90.00
_cell_angle_gamma 90.00
_space_group_name_H-M_alt 'F m -3 m'
_space_group_IT_number 225
_space_group_name_Hall '-F 4 2 3'
loop_
_atom_site_label
_atom_site_type_symbol
_atom_site_fract_x
_atom_site_fract_y
_atom_site_fract_z
Cs1 Cs 0.000 0.000 0.000
W1 W 0.000 0.000 0.500
Se1 Se 0.250 0.250 0.250
# N(E_F) (states/eV/cell): 7.8
# Magnetization (Bohr magnetons per cell): 11.86

---

Quick one: least stable of them? B)

---

A) # GGA-PBE CsW2Se2, relaxed
data_CsW2Se2
_chemical_formula_sum 'Cs2 W4 Se4'
_cell_length_a 5.060
_cell_length_b 5.060
_cell_length_c 9.041
_cell_angle_alpha 90.00
_cell_angle_beta 90.00
_cell_angle_gamma 90.00
_space_group_name_H-M_alt 'I 4/m m m'
_space_group_IT_number 139
_space_group_name_Hall '-I 4 2'
loop_
_atom_site_label
_atom_site_type_symbol
_atom_site_fract_x
_atom_site_fract_y
_atom_site_fract_z
Cs1 Cs 0.000 0.000 0.000
W1 W 0.000 0.000 0.373
Se1 Se 0.000 0.500 0.250
# N(E_F) (states/eV/cell): 6.2
# Magnetization (Bohr magnetons per cell): 0.00

---

B) # GGA-PBE CsW2Se2, relaxed
data_CsW2Se2
_chemical_formula_sum 'Cs2 W4 Se4'
_cell_length_a 8.893
_cell_length_b 8.893
_cell_length_c 3.241
_cell_angle_alpha 90.00
_cell_angle_beta 90.00
_cell_angle_gamma 90.00
_space_group_name_H-M_alt 'P 4/m b m'
_space_group_IT_number 127
_space_group_name_Hall '-P 4 2ab'
loop_
_atom_site_label
_atom_site_type_symbol
_atom_site_fract_x
_atom_site_fract_y
_atom_site_fract_z
Cs1 Cs 0.000 0.000 0.000
W1 W 0.090 0.410 0.000
Se1 Se 0.151 0.651 0.500
# N(E_F) (states/eV/cell): 4.2
# Magnetization (Bohr magnetons per cell): 0.00

---

Quick one: least stable of them? B)

---

A) # GGA-PBE CsW3Se, relaxed
data_CsW3Se
_chemical_formula_sum 'Cs1 W3 Se1'
_cell_length_a 4.962
_cell_length_b 4.962
_cell_length_c 4.962
_cell_angle_alpha 90.00
_cell_angle_beta 90.00
_cell_angle_gamma 90.00
_space_group_name_H-M_alt 'P m -3 m'
_space_group_IT_number 221
_space_group_name_Hall '-P 4 2 3'
loop_
_atom_site_label
_atom_site_type_symbol
_atom_site_fract_x
_atom_site_fract_y
_atom_site_fract_z
Cs1 Cs 0.000 0.000 0.000
W1 W 0.000 0.000 0.500
Se1 Se 0.500 0.500 0.500
# N(E_F) (states/eV/cell): 9.4
# Magnetization (Bohr magnetons per cell): 0.00

---

B) # GGA-PBE CsW3Se, relaxed
data_CsW3Se
_chemical_formula_sum 'Cs1 W3 Se1'
_cell_length_a 4.835
_cell_length_b 4.835
_cell_length_c 4.835
_cell_angle_alpha 90.00
_cell_angle_beta 90.00
_cell_angle_gamma 90.00
_space_group_name_H-M_alt 'P m -3 m'
_space_group_IT_number 221
_space_group_name_Hall '-P 4 2 3'
loop_
_atom_site_label
_atom_site_type_symbol
_atom_site_fract_x
_atom_site_fract_y
_atom_site_fract_z
Cs1 Cs 0.000 0.000 0.000
W1 W 0.000 0.500 0.500
Se1 Se 0.500 0.500 0.500
# N(E_F) (states/eV/cell): 7.2
# Magnetization (Bohr magnetons per cell): 0.00

---

Quick one: least stable of them? A)

---

A) # GGA-PBE CsY2Se3, relaxed
data_CsY2Se3
_chemical_formula_sum 'Cs2 Y4 Se6'
_cell_length_a 7.765
_cell_length_b 4.168
_cell_length_c 11.242
_cell_angle_alpha 90.00
_cell_angle_beta 103.62
_cell_angle_gamma 90.00
_space_group_name_H-M_alt 'P 1 21/m 1'
_space_group_IT_number 11
loop_
_space_group_symop_operation_xyz
'x,y,z'
'-x,-y,-z'
'-x,y+1/2,-z'
'x,-y+1/2,z'
loop_
_atom_site_label
_atom_site_type_symbol
_atom_site_fract_x
_atom_site_fract_y
_atom_site_fract_z
Cs1 Cs 0.029 0.250 0.344
Y1 Y 0.259 0.250 0.993
Y2 Y 0.499 0.750 0.315
Se1 Se 0.149 0.750 0.136
Se2 Se 0.331 0.750 0.526
Se3 Se 0.391 0.750 0.848
# N(E_F) (states/eV/cell): 4.7
# Magnetization (Bohr magnetons per cell): 0.00

---

B) # GGA-PBE CsY2Se3, relaxed
data_CsY2Se3
_chemical_formula_sum 'Cs4 Y8 Se12'
_cell_length_a 4.561
_cell_length_b 16.530
_cell_length_c 11.245
_cell_angle_alpha 90.00
_cell_angle_beta 90.00
_cell_angle_gamma 90.00
_space_group_name_H-M_alt 'C m c m'
_space_group_IT_number 63
_space_group_name_Hall '-C 2c 2'
loop_
_atom_site_label
_atom_site_type_symbol
_atom_site_fract_x
_atom_site_fract_y
_atom_site_fract_z
Cs1 Cs 0.000 0.238 0.250
Y1 Y 0.000 0.032 0.750
Y2 Y 0.000 0.500 0.000
Se1 Se 0.000 0.115 0.542
Se2 Se 0.000 0.442 0.750
# N(E_F) (states/eV/cell): 14.0
# Magnetization (Bohr magnetons per cell): 0.00

---

Quick one: least stable of them? B)

---

A) # GGA-PBE Cs2YSe, relaxed
data_Cs2YSe
_chemical_formula_sum 'Cs8 Y4 Se4'
_cell_length_a 9.098
_cell_length_b 9.098
_cell_length_c 9.098
_cell_angle_alpha 90.00
_cell_angle_beta 90.00
_cell_angle_gamma 90.00
_space_group_name_H-M_alt 'F m -3 m'
_space_group_IT_number 225
_space_group_name_Hall '-F 4 2 3'
loop_
_atom_site_label
_atom_site_type_symbol
_atom_site_fract_x
_atom_site_fract_y
_atom_site_fract_z
Cs1 Cs 0.250 0.250 0.250
Y1 Y 0.000 0.000 0.000
Se1 Se 0.000 0.000 0.500
# N(E_F) (states/eV/cell): 33.7
# Magnetization (Bohr magnetons per cell): 4.00

---

B) # GGA-PBE Cs2YSe, relaxed
data_Cs2YSe
_chemical_formula_sum 'Cs8 Y4 Se4'
_cell_length_a 13.945
_cell_length_b 13.945
_cell_length_c 5.456
_cell_angle_alpha 90.00
_cell_angle_beta 90.00
_cell_angle_gamma 90.00
_space_group_name_H-M_alt 'I -4 2 d'
_space_group_IT_number 122
_space_group_name_Hall 'I -4 2bw'
loop_
_atom_site_label
_atom_site_type_symbol
_atom_site_fract_x
_atom_site_fract_y
_atom_site_fract_z
Cs1 Cs 0.093 0.250 0.125
Y1 Y 0.000 0.000 0.500
Se1 Se 0.000 0.000 0.000
# N(E_F) (states/eV/cell): 16.9
# Magnetization (Bohr magnetons per cell): 2.78

---

Quick one: least stable of them? A)

---

A) # GGA-PBE CsZnSe3, relaxed
data_CsZnSe3
_chemical_formula_sum 'Cs1 Zn1 Se3'
_cell_length_a 5.191
_cell_length_b 5.191
_cell_length_c 5.191
_cell_angle_alpha 90.00
_cell_angle_beta 90.00
_cell_angle_gamma 90.00
_space_group_name_H-M_alt 'P m -3 m'
_space_group_IT_number 221
_space_group_name_Hall '-P 4 2 3'
loop_
_atom_site_label
_atom_site_type_symbol
_atom_site_fract_x
_atom_site_fract_y
_atom_site_fract_z
Cs1 Cs 0.000 0.000 0.000
Zn1 Zn 0.500 0.500 0.500
Se1 Se 0.000 0.500 0.500
# N(E_F) (states/eV/cell): 7.9
# Magnetization (Bohr magnetons per cell): 0.00

---

B) # GGA-PBE CsZnSe3, relaxed
data_CsZnSe3
_chemical_formula_sum 'Cs1 Zn1 Se3'
_cell_length_a 6.155
_cell_length_b 6.155
_cell_length_c 6.155
_cell_angle_alpha 90.00
_cell_angle_beta 90.00
_cell_angle_gamma 90.00
_space_group_name_H-M_alt 'P m -3 m'
_space_group_IT_number 221
_space_group_name_Hall '-P 4 2 3'
loop_
_atom_site_label
_atom_site_type_symbol
_atom_site_fract_x
_atom_site_fract_y
_atom_site_fract_z
Cs1 Cs 0.000 0.000 0.000
Zn1 Zn 0.500 0.500 0.500
Se1 Se 0.000 0.000 0.500
# N(E_F) (states/eV/cell): 10.1
# Magnetization (Bohr magnetons per cell): 3.67

---

Quick one: least stable of them? B)

---

A) # GGA-PBE CsZn3Se, relaxed
data_CsZn3Se
_chemical_formula_sum 'Cs1 Zn3 Se1'
_cell_length_a 6.929
_cell_length_b 6.929
_cell_length_c 6.929
_cell_angle_alpha 90.00
_cell_angle_beta 90.00
_cell_angle_gamma 90.00
_space_group_name_H-M_alt 'P m -3 m'
_space_group_IT_number 221
_space_group_name_Hall '-P 4 2 3'
loop_
_atom_site_label
_atom_site_type_symbol
_atom_site_fract_x
_atom_site_fract_y
_atom_site_fract_z
Cs1 Cs 0.000 0.000 0.000
Zn1 Zn 0.000 0.000 0.500
Se1 Se 0.500 0.500 0.500
# N(E_F) (states/eV/cell): 10.8
# Magnetization (Bohr magnetons per cell): 1.00

---

B) # GGA-PBE CsZn3Se, relaxed
data_CsZn3Se
_chemical_formula_sum 'Cs1 Zn3 Se1'
_cell_length_a 5.478
_cell_length_b 5.478
_cell_length_c 5.478
_cell_angle_alpha 90.00
_cell_angle_beta 90.00
_cell_angle_gamma 90.00
_space_group_name_H-M_alt 'P m -3 m'
_space_group_IT_number 221
_space_group_name_Hall '-P 4 2 3'
loop_
_atom_site_label
_atom_site_type_symbol
_atom_site_fract_x
_atom_site_fract_y
_atom_site_fract_z
Cs1 Cs 0.000 0.000 0.000
Zn1 Zn 0.000 0.500 0.500
Se1 Se 0.500 0.500 0.500
# N(E_F) (states/eV/cell): 2.9
# Magnetization (Bohr magnetons per cell): 0.00

---

Quick one: least stable of them? A)

---

A) # GGA-PBE CsSi, relaxed
data_CsSi
_chemical_formula_sum 'Cs4 Si4'
_cell_length_a 8.677
_cell_length_b 8.677
_cell_length_c 8.677
_cell_angle_alpha 90.00
_cell_angle_beta 90.00
_cell_angle_gamma 90.00
_space_group_name_H-M_alt 'F -4 3 m'
_space_group_IT_number 216
_space_group_name_Hall 'F -4 2 3'
loop_
_atom_site_label
_atom_site_type_symbol
_atom_site_fract_x
_atom_site_fract_y
_atom_site_fract_z
Cs1 Cs 0.000 0.000 0.000
Si1 Si 0.250 0.250 0.250
# Magnetization (Bohr magnetons per cell): 12.00

---

B) # GGA-PBE CsSi, relaxed
data_CsSi
_chemical_formula_sum 'Cs4 Si4'
_cell_length_a 7.962
_cell_length_b 7.962
_cell_length_c 7.260
_cell_angle_alpha 90.00
_cell_angle_beta 90.00
_cell_angle_gamma 90.00
_space_group_name_H-M_alt 'P 42/m n m'
_space_group_IT_number 136
_space_group_name_Hall '-P 4n 2n'
loop_
_atom_site_label
_atom_site_type_symbol
_atom_site_fract_x
_atom_site_fract_y
_atom_site_fract_z
Cs1 Cs 0.181 0.181 0.000
Si1 Si 0.095 0.095 0.500
# Magnetization (Bohr magnetons per cell): 0.00

---

Quick one: least stable of them? A)

---

A) # GGA-PBE CsSi2, relaxed
data_CsSi2
_chemical_formula_sum 'Cs1 Si2'
_cell_length_a 3.9876
_cell_length_b 3.9876
_cell_length_c 6.3486
_cell_angle_alpha 90.00
_cell_angle_beta 90.00
_cell_angle_gamma 120.00
_space_group_name_H-M_alt 'P -3 m 1'
_space_group_IT_number 164
_space_group_name_Hall '-P 3 2"'
loop_
_atom_site_label
_atom_site_type_symbol
_atom_site_fract_x
_atom_site_fract_y
_atom_site_fract_z
Cs1 Cs 0.0000 0.0000 0.0000
Si1 Si 0.3333 0.6667 0.5474
# N(E_F) (states/eV/cell): 0.6
# Magnetization (Bohr magnetons per cell): 0.00

---

B) # GGA-PBE CsSi2, relaxed
data_CsSi2
_chemical_formula_sum 'Cs3 Si6'
_cell_length_a 3.9685
_cell_length_b 3.9685
_cell_length_c 19.6335
_cell_angle_alpha 90.00
_cell_angle_beta 90.00
_cell_angle_gamma 120.00
_space_group_name_H-M_alt 'R 3 m'
_space_group_IT_number 160
_space_group_name_Hall 'R 3 -2"'
loop_
_atom_site_label
_atom_site_type_symbol
_atom_site_fract_x
_atom_site_fract_y
_atom_site_fract_z
Cs1 Cs 0.0000 0.0000 0.0000
Si1 Si 0.0000 0.0000 0.1902
Si2 Si 0.0000 0.0000 0.4904
# N(E_F) (states/eV/cell): 4.0
# Magnetization (Bohr magnetons per cell): 0.00

---

Quick one: least stable of them? B)